a) A plane-wave DFT calculation with PBE-GGA was carried out for a geometry-optimized ZnCoPtW structure.

```
ZnCoPtW
1.0
0.000 3.051 3.051
3.051 0.000 3.051
3.051 3.051 0.000
Zn Co Pt W
1 1 1 1
direct
0.000 0.000 0.000 Zn
0.250 0.250 0.250 Co
0.750 0.750 0.750 Pt
0.500 0.500 0.500 W
```

Calculated values
Space-group type: No. 216

***

b) A plane-wave DFT calculation with PBE-GGA was carried out for a geometry-optimized ZnCoPtW structure.

```
ZnCoPtW
1.0
0.000 3.050 3.050
3.050 0.000 3.050
3.050 3.050 0.000
Zn Co Pt W
1 1 1 1
direct
0.000 0.000 0.000 Zn
0.250 0.250 0.250 Co
0.500 0.500 0.500 Pt
0.750 0.750 0.750 W
```

Calculated values
Space-group type: No. 216

***

Most stable one: a), least stable one: b).

***

a) A plane-wave DFT calculation with PBE-GGA was carried out for a geometry-optimized Pu2Co17 structure.

```
Pu2Co17
1.0
8.186 0.000 0.000
-4.093 7.089 0.000
0.000 0.000 7.939
Pu Co
4 34
direct
0.000 0.000 0.250 Pu
0.000 0.000 0.750 Pu
0.333 0.667 0.250 Pu
0.667 0.333 0.750 Pu
0.000 0.500 0.000 Co
0.000 0.500 0.500 Co
0.045 0.370 0.750 Co
0.045 0.675 0.750 Co
0.165 0.331 0.029 Co
0.165 0.331 0.471 Co
0.165 0.835 0.029 Co
0.165 0.835 0.471 Co
0.325 0.370 0.750 Co
0.325 0.955 0.750 Co
0.331 0.165 0.529 Co
0.331 0.165 0.971 Co
0.333 0.667 0.598 Co
0.333 0.667 0.902 Co
0.370 0.045 0.250 Co
0.370 0.325 0.250 Co
0.500 0.000 0.000 Co
0.500 0.000 0.500 Co
0.500 0.500 0.000 Co
0.500 0.500 0.500 Co
0.630 0.675 0.750 Co
0.630 0.955 0.750 Co
0.667 0.333 0.098 Co
0.667 0.333 0.402 Co
0.669 0.835 0.029 Co
0.669 0.835 0.471 Co
0.675 0.045 0.250 Co
0.675 0.630 0.250 Co
0.835 0.165 0.529 Co
0.835 0.165 0.971 Co
0.835 0.669 0.529 Co
0.835 0.669 0.971 Co
0.955 0.325 0.250 Co
0.955 0.630 0.250 Co
```

Calculated values
Space-group type: No. 194

***

b) A plane-wave DFT calculation with PBE-GGA was carried out for a geometry-optimized Pu2Co17 structure.

```
Pu2Co17
1.0
4.073 2.352 4.000
-4.073 2.352 4.000
0.000 -4.703 4.000
Pu Co
2 17
direct
0.154 0.154 0.154 Pu
0.846 0.846 0.846 Pu
0.000 0.500 0.500 Co
0.149 0.149 0.652 Co
0.149 0.652 0.149 Co
0.205 0.500 0.795 Co
0.205 0.795 0.500 Co
0.348 0.851 0.851 Co
0.402 0.402 0.402 Co
0.500 0.000 0.500 Co
0.500 0.205 0.795 Co
0.500 0.500 0.000 Co
0.500 0.795 0.205 Co
0.598 0.598 0.598 Co
0.652 0.149 0.149 Co
0.795 0.205 0.500 Co
0.795 0.500 0.205 Co
0.851 0.348 0.851 Co
0.851 0.851 0.348 Co
```

Calculated values
Space-group type: No. 166

***

Most stable one: b), least stable one: a).

***

a) A plane-wave DFT calculation with PBE-GGA was carried out for a geometry-optimized PuCoRe structure.

```
PuCoRe
1.0
0.000 2.984 2.984
2.984 0.000 2.984
2.984 2.984 0.000
Pu Co Re
1 1 1
direct
0.000 0.000 0.000 Pu
0.500 0.500 0.500 Co
0.250 0.250 0.250 Re
```

Calculated values
Space-group type: No. 216

***

b) A plane-wave DFT calculation with PBE-GGA was carried out for a geometry-optimized PuCoRe structure.

```
PuCoRe
1.0
0.000 2.984 2.984
2.984 0.000 2.984
2.984 2.984 0.000
Pu Co Re
1 1 1
direct
0.000 0.000 0.000 Pu
0.250 0.250 0.250 Co
0.750 0.750 0.750 Re
```

Calculated values
Space-group type: No. 216

***

Most stable one: a), least stable one: b).

***

a) A plane-wave DFT calculation with PBE-GGA was carried out for a geometry-optimized PuCoTc structure.

```
PuCoTc
1.0
0.000 2.969 2.969
2.969 0.000 2.969
2.969 2.969 0.000
Pu Co Tc
1 1 1
direct
0.000 0.000 0.000 Pu
0.250 0.250 0.250 Co
0.750 0.750 0.750 Tc
```

Calculated values
Space-group type: No. 216

***

b) A plane-wave DFT calculation with PBE-GGA was carried out for a geometry-optimized PuCoTc structure.

```
PuCoTc
1.0
0.000 2.933 2.933
2.933 0.000 2.933
2.933 2.933 0.000
Pu Co Tc
1 1 1
direct
0.000 0.000 0.000 Pu
0.250 0.250 0.250 Co
0.500 0.500 0.500 Tc
```

Calculated values
Space-group type: No. 216

***

Most stable one: b), least stable one: a).

***

a) A plane-wave DFT calculation with PBE-GGA was carried out for a geometry-optimized RbCo3 structure.

```
RbCo3
1.0
-2.072 2.072 3.683
2.072 -2.072 3.683
2.072 2.072 -3.683
Rb Co
1 3
direct
0.000 0.000 0.000 Rb
0.250 0.750 0.500 Co
0.500 0.500 0.000 Co
0.750 0.250 0.500 Co
```

Calculated values
Space-group type: No. 139

***

b) A plane-wave DFT calculation with PBE-GGA was carried out for a geometry-optimized RbCo3 structure.

```
RbCo3
1.0
4.013 0.000 0.000
0.000 4.013 0.000
0.000 0.000 4.013
Rb Co
1 3
direct
0.000 0.000 0.000 Rb
0.000 0.500 0.500 Co
0.500 0.000 0.500 Co
0.500 0.500 0.000 Co
```

Calculated values
Space-group type: No. 221

***

Most stable one: b), least stable one: a).

***

a) A plane-wave DFT calculation with PBE-GGA was carried out for a geometry-optimized RbCo3 structure.

```
RbCo3
1.0
7.476 0.000 0.000
-3.738 6.474 0.000
0.000 0.000 3.873
Rb Co
2 6
direct
0.333 0.667 0.250 Rb
0.667 0.333 0.750 Rb
0.105 0.210 0.750 Co
0.105 0.895 0.750 Co
0.210 0.105 0.250 Co
0.790 0.895 0.750 Co
0.895 0.105 0.250 Co
0.895 0.790 0.250 Co
```

Calculated values
Space-group type: No. 194

***

b) A plane-wave DFT calculation with PBE-GGA was carried out for a geometry-optimized RbCo3 structure.

```
RbCo3
1.0
0.000 3.171 3.171
3.171 0.000 3.171
3.171 3.171 0.000
Rb Co
1 3
direct
0.000 0.000 0.000 Rb
0.250 0.250 0.250 Co
0.500 0.500 0.500 Co
0.750 0.750 0.750 Co
```

Calculated values
Space-group type: No. 225

***

Most stable one: a), least stable one: b).